Material: AlRu2Pb
Method: DFT, PBE
State: optimized geometry

Structure (POSCAR):
```
AlRu2Pb
1.0
-2.1099 2.1099 8.7435
2.1099 -2.1099 8.7435
2.1099 2.1099 -8.7435
Al Ru Pb
2 4 2
Direct
0.0000 0.0000 0.0000 Al
0.7500 0.2500 0.5000 Al
0.0395 0.6250 0.9145 Ru
0.3750 0.2895 0.4145 Ru
0.7105 0.1250 0.0855 Ru
0.8750 0.9605 0.5855 Ru
0.2500 0.7500 0.5000 Pb
0.5000 0.5000 0.0000 Pb
```

Results
Its space group is I-42d. The energy is -48.06 eV for the cell shown. Its calculated formation energy is 0.4930 eV per atom. The energy above the most stable polymorph in this dataset is 0.491 eV/atom.

***

Material: LaAg2Au9
Method: DFT, PBE
State: optimized geometry

Structure (POSCAR):
```
LaAg2Au9
1.0
2.7766 1.6030 9.2337
-2.7766 1.6030 9.2337
0.0000 -3.2061 9.2337
La Ag Au
1 2 9
Direct
0.0000 0.0000 0.0000 La
0.1498 0.1498 0.1498 Ag
0.8502 0.8502 0.8502 Ag
0.0824 0.5880 0.5880 Au
0.3332 0.3332 0.3332 Au
0.4120 0.4120 0.9176 Au
0.4120 0.9176 0.4120 Au
0.5000 0.5000 0.5000 Au
0.5880 0.0824 0.5880 Au
0.5880 0.5880 0.0824 Au
0.6668 0.6668 0.6668 Au
0.9176 0.4120 0.4120 Au
```

Results
Its space group is R-3m. The energy is -42.65 eV for the cell shown. Its calculated formation energy is -0.2101 eV per atom.

***

Material: LiB2F6
Method: DFT, PBE
State: optimized geometry

Structure (POSCAR):
```
LiB2F6
1.0
4.4594 -4.0419 0.0000
4.4594 4.0419 0.0000
-1.4053 0.0000 6.0292
Li B F
2 4 12
Direct
0.0711 0.9289 0.7500 Li
0.9289 0.0711 0.2500 Li
0.1073 0.4346 0.6242 B
0.4346 0.1073 0.1242 B
0.5654 0.8927 0.8758 B
0.8927 0.5654 0.3758 B
0.0112 0.2299 0.6311 F
0.0834 0.6038 0.8036 F
0.2299 0.0112 0.1311 F
0.3129 0.4011 0.5583 F
0.3962 0.9166 0.6964 F
0.4011 0.3129 0.0583 F
0.5989 0.6871 0.9417 F
0.6038 0.0834 0.3036 F
0.6871 0.5989 0.4417 F
0.7701 0.9888 0.8689 F
0.9166 0.3962 0.1964 F
0.9888 0.7701 0.3689 F
```

Results
Its space group is C2/c. The calculation puts the formation energy without anion corrections at -2.5507 eV per atom. The energy is -98.91 eV for the cell shown.

***

Material: TmMgGa2Pd2
Method: DFT, PBE
State: optimized geometry

Structure (POSCAR):
```
TmMgGa2Pd2
1.0
4.4219 0.0000 0.0000
-2.2109 3.8295 0.0000
0.0000 0.0000 6.4358
Tm Mg Ga Pd
1 1 2 2
Direct
0.0000 0.0000 0.0000 Tm
0.0000 0.0000 0.5000 Mg
0.3333 0.6667 0.7233 Ga
0.6667 0.3333 0.2767 Ga
0.3333 0.6667 0.2812 Pd
0.6667 0.3333 0.7188 Pd
```

Results
Its space group is P-3m1. The energy is -26.85 eV for the cell shown. Its calculated formation energy is -0.7245 eV per atom.

***

Material: Pu3HgO
Method: DFT, PBE
State: optimized geometry

Structure (POSCAR):
```
Pu3HgO
1.0
4.8713 0.0000 0.0000
0.0000 4.8713 0.0000
0.0000 0.0000 4.8713
Pu Hg O
3 1 1
Direct
0.0000 0.0000 0.5000 Pu
0.0000 0.5000 0.0000 Pu
0.5000 0.0000 0.0000 Pu
0.5000 0.5000 0.5000 Hg
0.0000 0.0000 0.0000 O
```

Results
Its space group is Pm-3m. The calculation puts the formation energy without anion corrections at -0.9206 eV per atom. The energy is -52.86 eV for the cell shown.

***

Material: Sr2LaSnSe5
Method: DFT, PBE
State: optimized geometry

Structure (POSCAR):
```
Sr2LaSnSe5
1.0
2.2180 -9.2480 0.0000
2.2180 9.2480 0.0000
0.0000 0.0000 13.0594
Sr La Sn Se
4 2 2 10
Direct
0.1116 0.8884 0.5000 Sr
0.1326 0.8674 0.1244 Sr
0.8674 0.1326 0.6244 Sr
0.8884 0.1116 0.0000 Sr
0.2130 0.7870 0.8316 La
0.7870 0.2130 0.3316 La
0.4652 0.5348 0.2704 Sn
0.5348 0.4652 0.7704 Sn
0.0498 0.9502 0.8878 Se
0.2840 0.7160 0.4865 Se
0.3210 0.6790 0.1801 Se
0.3712 0.6288 0.8150 Se
0.4917 0.5083 0.5770 Se
0.5083 0.4917 0.0770 Se
0.6288 0.3712 0.3150 Se
0.6790 0.3210 0.6801 Se
0.7160 0.2840 0.9865 Se
0.9502 0.0498 0.3878 Se
```

Results
Its space group is Cmc2_1. The calculation puts the formation energy without anion corrections at -1.5275 eV per atom. The energy is -86.93 eV for the cell shown.

***

Material: BaNaPdPb
Method: DFT, PBE
State: optimized geometry

Structure (POSCAR):
```
BaNaPdPb
1.0
0.0000 3.7969 3.7969
3.7969 0.0000 3.7969
3.7969 3.7969 0.0000
Ba Na Pd Pb
1 1 1 1
Direct
0.0000 0.0000 0.0000 Ba
0.2500 0.2500 0.2500 Na
0.7500 0.7500 0.7500 Pd
0.5000 0.5000 0.5000 Pb
```

Results
Its space group is F-43m. The energy is -13.23 eV for the cell shown. Its calculated formation energy is -0.2722 eV per atom.

***

Material: Rb2HgHBr5
Method: DFT, PBE
State: optimized geometry

Structure (POSCAR):
```
Rb2HgHBr5
1.0
2.3900 -8.9559 0.0000
2.3900 8.9559 0.0000
0.0000 0.0000 14.7791
Rb Hg H Br
4 2 2 10
Direct
0.1233 0.8767 0.5000 Rb
0.1300 0.8700 0.1508 Rb
0.8700 0.1300 0.6508 Rb
0.8767 0.1233 0.0000 Rb
0.1755 0.8245 0.8567 Hg
0.8245 0.1755 0.3567 Hg
0.4141 0.5859 0.1481 H
0.5859 0.4141 0.6481 H
0.0345 0.9655 0.8403 Br
0.3125 0.6875 0.4822 Br
0.3190 0.6810 0.8292 Br
0.3213 0.6787 0.1845 Br
0.4963 0.5037 0.0940 Br
0.5037 0.4963 0.5940 Br
0.6787 0.3213 0.6845 Br
0.6810 0.3190 0.3292 Br
0.6875 0.3125 0.9822 Br
0.9655 0.0345 0.3403 Br
```

Results
Its space group is Cmc2_1. The energy is -45.48 eV for the cell shown.

***

Material: Na2Be2HgCl6
Method: DFT, PBE
State: optimized geometry

Structure (POSCAR):
```
Na2Be2HgCl6
1.0
7.2050 0.0000 0.0000
0.0045 7.8133 0.0000
3.5985 3.5533 6.0255
Na Be Hg Cl
2 2 1 6
Direct
0.1629 0.3091 0.1746 Na
0.8371 0.6909 0.8254 Na
0.1462 0.7234 0.2092 Be
0.8538 0.2766 0.7908 Be
0.5000 0.0000 0.5000 Hg
0.0601 0.3796 0.8349 Cl
0.0830 0.8927 0.3355 Cl
0.3960 0.6193 0.1666 Cl
0.6040 0.3807 0.8334 Cl
0.9170 0.1073 0.6645 Cl
0.9399 0.6204 0.1651 Cl
```

Results
Its space group is P-1. The calculation puts the formation energy without anion corrections at -1.3685 eV per atom. The energy is -36.53 eV for the cell shown.

***

Material: SrSn2HgCl8
Method: DFT, PBE
State: optimized geometry

Structure (POSCAR):
```
SrSn2HgCl8
1.0
6.5945 0.0000 0.0000
0.0642 6.9065 0.0000
0.3003 0.5675 8.7205
Sr Sn Hg Cl
1 2 1 8
Direct
0.0000 0.0000 0.0000 Sr
0.4931 0.4784 0.7430 Sn
0.5069 0.5216 0.2570 Sn
0.0000 0.0000 0.5000 Hg
0.1707 0.1592 0.2790 Cl
0.2593 0.6608 0.0339 Cl
0.2646 0.6526 0.4700 Cl
0.2794 0.1548 0.7558 Cl
0.7206 0.8452 0.2442 Cl
0.7354 0.3474 0.5300 Cl
0.7407 0.3392 0.9661 Cl
0.8293 0.8408 0.7210 Cl
```

Results
Its space group is P-1. The calculation puts the formation energy without anion corrections at -1.2468 eV per atom. The energy is -39.72 eV for the cell shown.

***

Material: Nb2MoC3
Method: DFT, PBE
State: optimized geometry

Structure (POSCAR):
```
Nb2MoC3
1.0
6.3331 0.0000 0.0000
0.0000 4.4615 0.0000
0.0000 0.0000 9.4577
Nb Mo C
8 4 12
Direct
0.1260 0.2500 0.0844 Nb
0.1258 0.2500 0.7489 Nb
0.3742 0.7500 0.2489 Nb
0.3740 0.7500 0.5844 Nb
0.6260 0.2500 0.4156 Nb
0.6258 0.2500 0.7511 Nb
0.8742 0.7500 0.2511 Nb
0.8740 0.7500 0.9156 Nb
0.1210 0.2500 0.4197 Mo
0.3790 0.7500 0.9197 Mo
0.6210 0.2500 0.0803 Mo
0.8790 0.7500 0.5803 Mo
0.1239 0.7500 0.4181 C
0.1253 0.7500 0.7504 C
0.1260 0.7500 0.0829 C
0.3740 0.2500 0.5829 C
0.3747 0.2500 0.2504 C
0.3761 0.2500 0.9181 C
0.6239 0.7500 0.0819 C
0.6253 0.7500 0.7496 C
0.6260 0.7500 0.4171 C
0.8740 0.2500 0.9171 C
0.8747 0.2500 0.2496 C
0.8761 0.2500 0.5819 C
```

Results
Its space group is Pnma. The energy is -240.32 eV for the cell shown. Its calculated formation energy is -0.2397 eV per atom.

***

Material: PrZr4Zn5
Method: DFT, PBE
State: optimized geometry

Structure (POSCAR):
```
PrZr4Zn5
1.0
3.4056 0.0000 0.0000
0.0000 3.4056 0.0000
0.0000 0.0000 17.1322
Pr Zr Zn
1 4 5
Direct
0.0000 0.0000 0.0000 Pr
0.0000 0.0000 0.2132 Zr
0.0000 0.0000 0.4045 Zr
0.0000 0.0000 0.5955 Zr
0.0000 0.0000 0.7868 Zr
0.5000 0.5000 0.1236 Zn
0.5000 0.5000 0.3093 Zn
0.5000 0.5000 0.5000 Zn
0.5000 0.5000 0.6907 Zn
0.5000 0.5000 0.8764 Zn
```

Results
Its space group is P4/mmm. The energy is -47.91 eV for the cell shown. Its calculated formation energy is -0.2570 eV per atom.

***

Question: energy of number 10 (SrSn2HgCl8)?
Answer: -39.72 eV for the cell shown